First-principles (PBE) data for Sc3ZnC after structural relaxation, as listed in the Alexandria database. Values from VASP.

Calculated values
Offset from the most stable computed form ... 316.5 meV per atom
Formation enthalpy at 0 K ... -0.121 eV per atom

Geometry as Quantum ESPRESSO input:
```
&SYSTEM
  ibrav = 0, nat = 10, ntyp = 3
/
ATOMIC_SPECIES
Sc 44.96 Sc.upf
Zn 65.41 Zn.upf
C 12.01 C.upf
ATOMIC_POSITIONS crystal
Sc 0.000 0.000 0.250
Sc 0.000 0.000 0.750
Sc 0.333 0.667 0.104
Sc 0.333 0.667 0.396
Sc 0.667 0.333 0.604
Sc 0.667 0.333 0.896
Zn 0.000 0.000 0.000
Zn 0.000 0.000 0.500
C 0.333 0.667 0.250
C 0.667 0.333 0.750
CELL_PARAMETERS angstrom
3.918 0.000 0.000
-1.959 3.393 0.000
0.000 0.000 15.181
```